Computed, not measured: a relaxed Nb3GeS crystal at the PBE level of DFT.

## Properties
final energy	-38.2	eV for the cell shown
formation energy from raw total energies	152	meV/atom
Fermi-level density of states	0.815	states/eV/atom
ΔE to the lowest computed polymorph	0	meV/atom
total magnetization	0.00	Bohr magnetons per cell
space-group type	Pm-3m

abc: 4.5669 4.5669 4.5669
angles: 90.00 90.00 90.00
With the nearest neighbours (Å) after each atom.
Fractional positions:
Ge1 0.5000 0.5000 0.5000  12 Nb 3.23
Nb1 0.5000 0.0000 0.0000  2 S 2.28
Nb2 0.0000 0.0000 0.5000  2 S 2.28
Nb3 0.0000 0.5000 0.0000  2 S 2.28
S1 0.0000 0.0000 0.0000  6 Nb 2.28